Na8Cd2Pb (GGA-PBE, optimized geometry); space group = No. 12; energy of formation = -0.068 eV/atom; energy relative to the lowest polymorph listed for this composition = 0 meV/atom
1.0
-3.661 -1.857 2.950
5.186 -2.720 4.723
0.244 8.974 1.620
Na Cd Pb
8 2 1
Direct
0.401 0.548 0.802
0.682 0.914 0.364
0.860 0.805 0.720
0.952 0.254 0.904
0.140 0.195 0.280
0.318 0.086 0.636
0.599 0.452 0.198
0.048 0.746 0.096
0.774 0.372 0.549
0.226 0.628 0.451
0.500 0.000 0.000


Cu2SbPd (GGA-PBE, optimized geometry); space group = No. 122; raw formation energy = 0.098 eV per atom
1.0
-3.518 -0.844 -6.252
-5.942 -1.960 3.609
-5.498 1.100 -1.227
Sb Cu Pd
2 4 2
Direct
0.000 0.000 0.000
0.750 0.250 0.500
0.621 0.125 0.250
0.129 0.625 0.250
0.375 0.379 0.750
0.875 0.871 0.750
0.500 0.500 0.000
0.250 0.750 0.500


no.,N(E_F) (states/eV per atom),calculated volume (Å³/cell)
1,0.474,324.0
2,0.515,136.7